No. 1
# TbNd2Al2Zn2

TbNd2Al2Zn2 after structural relaxation (PBE, the Alexandria database).

Lattice parameters (Å, degrees): 4.5377 4.5377 9.7323 76.52 76.52 60.00
Last column: nearest neighbours and their distance in Å.
Element x y z (fractional)
Zn1 0.6071 0.6071 0.1788  3 Al 2.62
Zn2 0.3929 0.3929 0.8212  3 Al 2.62
Tb1 0.0000 0.0000 0.0000  6 Zn 3.11, 6 Al 3.18
Nd1 0.8736 0.8736 0.3791  3 Al 3.15, 3 Zn 3.22, 3 Nd 3.46
Nd2 0.1264 0.1264 0.6209  3 Al 3.15, 3 Zn 3.22, 3 Nd 3.46
Al1 0.7309 0.7309 0.8073  3 Zn 2.62
Al2 0.2691 0.2691 0.1927  3 Zn 2.62

Output
Space group: R-3m (166)
Formation energy from the elements: -2.2 eV/f.u.
V: 167.1 Å³ per cell
Magnetization: 0.00 μB per cell



No. 2
# TbNdAlZn

TbNdAlZn after structural relaxation (PBE, the Alexandria database).

Lattice parameters (Å, degrees): 3.6290 3.6290 7.4383 90.00 90.00 90.00
Last column: nearest neighbours and their distance in Å.
Element x y z (fractional)
Al1 0.5000 0.5000 0.1191  4 Tb 3.14, 4 Nd 3.23, 1 Zn 3.51
Nd1 0.0000 0.0000 0.8548  4 Zn 3.23, 4 Al 3.23
Tb1 0.0000 0.0000 0.3633  4 Zn 3.07, 4 Al 3.14
Zn1 0.5000 0.5000 0.5908  4 Tb 3.07, 4 Nd 3.23

Output
ΔE to the lowest computed polymorph: 0.000 eV per formula unit
Space group: P4mm (99)
Formation energy from the elements: -1.4 eV/f.u.
V: 98.0 Å³ per cell
Magnetization: 0.00 μB per cell



No. 3
# Tb2NdAl2Zn2

Tb2NdAl2Zn2 after structural relaxation (PBE, the Alexandria database).

Lattice parameters (Å, degrees): 4.5419 4.5419 9.6300 76.36 76.36 60.00
Last column: nearest neighbours and their distance in Å.
Element x y z (fractional)
Al1 0.2604 0.2604 0.2187  3 Zn 2.62
Al2 0.7396 0.7396 0.7813  3 Zn 2.62
Zn1 0.4040 0.4040 0.7880  3 Al 2.62
Zn2 0.5960 0.5960 0.2120  3 Al 2.62
Tb1 0.1288 0.1288 0.6137  3 Al 3.05, 3 Zn 3.08, 3 Tb 3.36
Tb2 0.8712 0.8712 0.3863  3 Al 3.05, 3 Zn 3.08, 3 Tb 3.36
Nd1 0.0000 0.0000 0.0000  6 Zn 3.28, 6 Al 3.31, 2 Tb 3.58

Output
Space group: R-3m (166)
Formation energy from the elements: -2.2 eV/f.u.
V: 165.5 Å³ per cell
Magnetization: 0.00 μB per cell



No. 4
# NdAl2Tc

NdAl2Tc after structural relaxation (PBE, the Alexandria database).

Lattice parameters (Å, degrees): 4.2943 4.2943 5.8617 68.51 68.51 60.00
Last column: nearest neighbours and their distance in Å.
Element x y z (fractional)
Tc1 0.0000 0.0000 0.0000  6 Al 2.56
Nd1 0.5000 0.5000 0.5000  8 Al 3.20-3.29
Al1 0.7065 0.7065 0.8805  3 Tc 2.56, 3 Al 2.79
Al2 0.2935 0.2935 0.1195  3 Tc 2.56, 3 Al 2.79

Output
ΔE to the lowest computed polymorph: 0.204 eV per formula unit
Space group: R-3m (166)
Formation energy from the elements: -1.0 eV/f.u.
V: 84.8 Å³ per cell
Magnetization: 0.00 μB per cell



No. 5
# NdAl2Tc

NdAl2Tc after structural relaxation (PBE, the Alexandria database).

Lattice parameters (Å, degrees): 3.2241 3.2241 7.3657 90.00 90.00 90.00
Last column: nearest neighbours and their distance in Å.
Element x y z (fractional)
Al1 0.0000 0.0000 0.8198  4 Tc 2.64, 1 Al 2.65
Al2 0.0000 0.0000 0.1802  4 Tc 2.64, 1 Al 2.65
Nd1 0.5000 0.5000 0.5000  4 Nd 3.22, 8 Al 3.28
Tc1 0.5000 0.5000 0.0000  8 Al 2.64

Output
ΔE to the lowest computed polymorph: 0.000 eV per formula unit
Space group: P4/mmm (123)
Formation energy from the elements: -1.2 eV/f.u.
V: 76.6 Å³ per cell
Magnetization: 0.00 μB per cell



No. 6
# NdAlTc

NdAlTc after structural relaxation (PBE, the Alexandria database).

Lattice parameters (Å, degrees): 3.7720 5.6352 7.0629 72.41 74.51 70.45
Last column: nearest neighbours and their distance in Å.
Element x y z (fractional)
Tc1 0.8959 0.0344 0.1737  1 Tc 2.48, 2 Al 2.60
Tc2 0.1041 0.9656 0.8263  1 Tc 2.48, 2 Al 2.60
Al1 0.3543 0.8591 0.4323  3 Tc 2.60-2.87, 2 Al 2.70
Al2 0.6457 0.1409 0.5677  3 Tc 2.60-2.87, 2 Al 2.70
Nd1 0.1466 0.4760 0.2307  3 Tc 2.90-3.10, 3 Al 3.17-3.24
Nd2 0.8534 0.5240 0.7693  3 Tc 2.90-3.10, 3 Al 3.17-3.24

Output
ΔE to the lowest computed polymorph: 0.352 eV per formula unit
Space group: C2/m (12)
Formation energy from the elements: 0.1 eV/f.u.
V: 132.5 Å³ per cell
Magnetization: 0.00 μB per cell